Entry from Alexandria: an optimized crystal structure of ZrAlNO2 (PBE-GGA).

Geometry as POSCAR:
```
ZrAlNO2
1.0
4.064 0.000 0.000
0.000 4.064 0.000
0.000 0.000 4.384
Zr Al N O
1 1 1 2
Cartesian
0.000 0.000 0.000
2.032 2.032 2.192
0.000 0.000 2.192
0.000 2.032 0.000
2.032 0.000 0.000
```

Total magnetization, μB per formula unit: 0.0

***

Entry from Alexandria: an optimized crystal structure of ZrAlNO2 (PBE-GGA).

Geometry as POSCAR:
```
ZrAlNO2
1.0
3.561 0.000 0.000
0.000 3.561 0.000
0.000 0.000 3.923
Zr Al N O
1 1 1 2
Cartesian
0.000 0.000 0.000
1.780 1.780 1.961
1.780 1.780 0.000
0.000 1.780 1.961
1.780 0.000 1.961
```

Total magnetization, μB per formula unit: 0.0

***

Entry from Alexandria: an optimized crystal structure of AlOsN2 (PBE-GGA).

Geometry as POSCAR:
```
AlOsN2
1.0
1.446 0.835 6.314
-1.446 0.835 6.314
0.000 -1.670 6.314
Al Os N
1 1 2
Cartesian
0.000 0.000 0.000
0.000 0.000 9.471
0.000 0.000 1.913
0.000 0.000 17.029
```

Total magnetization, μB per formula unit: 0.0

***

Entry from Alexandria: an optimized crystal structure of AlOsN3 (PBE-GGA).

Geometry as POSCAR:
```
AlOsN3
1.0
3.654 0.000 0.000
0.000 3.654 0.000
0.000 0.000 3.654
Al Os N
1 1 3
Cartesian
0.000 0.000 0.000
1.827 1.827 1.827
0.000 0.000 1.827
0.000 1.827 0.000
1.827 0.000 0.000
```

Total magnetization, μB per formula unit: 0.0

***

Entry from Alexandria: an optimized crystal structure of AlOsN3 (PBE-GGA).

Geometry as POSCAR:
```
AlOsN3
1.0
3.863 0.000 0.000
0.000 3.863 0.000
0.000 0.000 3.863
Al Os N
1 1 3
Cartesian
0.000 0.000 0.000
1.931 1.931 1.931
0.000 1.931 1.931
1.931 0.000 1.931
1.931 1.931 0.000
```

Total magnetization, μB per formula unit: 0.0

***

Entry from Alexandria: an optimized crystal structure of AlOsN2 (PBE-GGA).

Geometry as POSCAR:
```
AlOsN2
1.0
-2.310 2.310 4.272
2.310 -2.310 4.272
2.310 2.310 -4.272
Al Os N
2 2 4
Cartesian
0.000 0.000 0.000
0.000 2.310 2.136
2.310 0.000 2.136
0.000 0.000 4.272
3.466 1.036 -1.068
1.036 1.155 1.068
-1.155 1.275 3.204
1.275 1.155 5.340
```

Total magnetization, μB per formula unit: 0.0

***

Entry from Alexandria: an optimized crystal structure of AlOsN2 (PBE-GGA).

Geometry as POSCAR:
```
AlOsN2
1.0
1.446 0.835 5.971
-1.446 0.835 5.971
0.000 -1.669 5.971
Al Os N
1 1 2
Cartesian
0.000 0.000 0.000
0.000 0.000 8.956
0.000 0.000 7.077
0.000 0.000 10.835
```

Total magnetization, μB per formula unit: 0.0

***

Entry from Alexandria: an optimized crystal structure of AlOsPbN2 (PBE-GGA).

Geometry as POSCAR:
```
AlOsPbN2
1.0
3.736 0.000 0.000
0.000 3.736 0.000
0.000 0.000 6.840
Al Os Pb N
1 1 1 2
Cartesian
0.000 0.000 0.000
1.868 1.868 3.420
0.000 0.000 3.420
0.000 1.868 0.000
1.868 0.000 0.000
```

Total magnetization, μB per formula unit: 2.1

***

Entry from Alexandria: an optimized crystal structure of AlOsSN2 (PBE-GGA).

Geometry as POSCAR:
```
AlOsSN2
1.0
3.788 0.000 0.000
0.000 3.788 0.000
0.000 0.000 5.139
Al Os S N
1 1 1 2
Cartesian
0.000 0.000 0.000
1.894 1.894 2.570
1.894 1.894 0.000
0.000 1.894 2.570
1.894 0.000 2.570
```

Total magnetization, μB per formula unit: 0.0

***

Entry from Alexandria: an optimized crystal structure of AlOsSN2 (PBE-GGA).

Geometry as POSCAR:
```
AlOsSN2
1.0
3.676 0.000 0.000
0.000 3.676 0.000
0.000 0.000 4.617
Al Os S N
1 1 1 2
Cartesian
0.000 0.000 0.000
1.838 1.838 2.309
0.000 0.000 2.309
0.000 1.838 0.000
1.838 0.000 0.000
```

Total magnetization, μB per formula unit: 0.2

***

Entry from Alexandria: an optimized crystal structure of TaAl2OsN (PBE-GGA).

Geometry as POSCAR:
```
TaAl2OsN
1.0
5.094 0.000 0.000
0.000 5.094 0.000
0.000 0.000 3.831
Ta Al Os N
1 2 1 1
Cartesian
0.000 0.000 0.000
0.000 2.547 0.000
2.547 0.000 0.000
2.547 2.547 1.915
0.000 0.000 1.915
```

Total magnetization, μB per formula unit: 1.9

***

Entry from Alexandria: an optimized crystal structure of AlTe2OsN (PBE-GGA).

Geometry as POSCAR:
```
AlTe2OsN
1.0
5.359 0.000 0.000
0.000 5.359 0.000
0.000 0.000 3.403
Al Te Os N
1 2 1 1
Cartesian
0.000 0.000 0.000
0.000 2.680 0.000
2.680 0.000 0.000
2.680 2.680 1.701
0.000 0.000 1.701
```

Total magnetization, μB per formula unit: 0.8

***

| no. | formation energy (no corrections) (eV per formula unit) |
| --- | --- |
| 1 | -5.11 |
| 2 | -9.83 |
| 3 | 1.19 |
| 4 | 7.20 |
| 5 | 4.89 |
| 6 | -0.32 |
| 7 | -0.18 |
| 8 | 7.74 |
| 9 | 2.63 |
| 10 | 6.39 |
| 11 | 6.89 |
| 12 | 4.95 |